[1]
CsFe2AgBr8: relaxed, PBE-GGA.

Lattice parameters (Å, degrees): 6.9548 6.9548 10.0426 90.00 90.00 120.00
Space group P-3 (No. 147)
Inequivalent atoms, fractional coordinates:
1 Cs 0.0000 0.0000 0.0000
2 Fe 0.3333 0.6667 0.7422
3 Ag 0.0000 0.0000 0.5000
4 Br 0.0130 0.3379 0.6716
5 Br 0.3333 0.6667 0.9770

## Properties
E_form (uncorrected)	-0.72	eV/atom

---

[2]
SrCaTl3: relaxed, PBE-GGA.

Lattice parameters (Å, degrees): 5.857 5.857 5.857 90.00 90.00 90.00
Space group Pm-3m (No. 221)
Inequivalent atoms, fractional coordinates:
1 Sr 0.000 0.000 0.000
2 Ca 0.500 0.500 0.500
3 Tl 0.000 0.500 0.500

## Properties
ΔE to the lowest computed polymorph	199	kJ/mol of formula units
formation energy	0.083	eV per atom

---

[3]
NdPu6Ge6: relaxed, PBE-GGA.

Lattice parameters (Å, degrees): 5.777 10.654 9.789 90.00 90.00 90.00
Space group Cmmm (No. 65)
Inequivalent atoms, fractional coordinates:
1 Nd 0.000 0.000 0.000
2 Pu 0.000 0.500 0.222
3 Pu 0.250 0.250 0.274
4 Ge 0.000 0.000 0.318
5 Ge 0.000 0.305 0.000
6 Ge 0.000 0.384 0.500

## Properties
formation energy	-0.255	eV per atom

---

[4]
YTiCuI2: relaxed, PBE-GGA.

Lattice parameters (Å, degrees): 5.874 5.874 5.221 90.00 90.00 90.00
Space group P4/mmm (No. 123)
Inequivalent atoms, fractional coordinates:
1 Y 0.000 0.000 0.000
2 Ti 0.500 0.500 0.500
3 Cu 0.000 0.000 0.500
4 I 0.000 0.500 0.000

## Properties
E_form (uncorrected)	0.66	eV/atom

---

[5]
RbHgPd2: relaxed, PBE-GGA.

Lattice parameters (Å, degrees): 5.157 5.157 18.894 90.00 90.00 90.00
Space group I-42d (No. 122)
Inequivalent atoms, fractional coordinates:
1 Rb 0.000 0.000 0.000
2 Hg 0.000 0.000 0.500
3 Pd 0.061 0.250 0.625

## Properties
formation energy	0.088	eV per atom

---

Please write out number 2 again, unchanged.
SrCaTl3: relaxed, PBE-GGA.

Lattice parameters (Å, degrees): 5.857 5.857 5.857 90.00 90.00 90.00
Space group Pm-3m (No. 221)
Inequivalent atoms, fractional coordinates:
1 Sr 0.000 0.000 0.000
2 Ca 0.500 0.500 0.500
3 Tl 0.000 0.500 0.500

## Properties
ΔE to the lowest computed polymorph	199	kJ/mol of formula units
formation energy	0.083	eV per atom